# 1
VASP calculation (PBE) on a relaxed structure of NdUHN2.

The value obtained for the calculated volume is 136 Å³/cell. The magnetization comes out at 1.1 μB/f.u. The final energy is -8.42 eV/atom.

a b c (Å): 3.481 3.481 11.206
angles (deg): 90.00 90.00 90.00
Space group P4/nmm (No. 129, origin choice 2)
One atom of each set of equivalent atoms:
1 Nd 0.250 0.250 0.143 (multiplicity 2)
2 U 0.250 0.250 0.610 (multiplicity 2)
3 H 0.250 0.750 0.000 (multiplicity 2)
4 N 0.250 0.250 0.389 (multiplicity 2)
5 N 0.250 0.250 0.792 (multiplicity 2)



# 2
VASP calculation (PBE) on a relaxed structure of HoCd8Pd2.

The value obtained for the formation energy is -0.1419 eV/atom. The value obtained for the calculated volume is 499 Å³/cell. The magnetization comes out at 0.0 μB/f.u. The final energy is -2.17 eV/atom.

a b c (Å): 8.082 12.250 5.301
angles (deg): 90.00 107.87 90.00
Space group C2/m (No. 12)
One atom of each set of equivalent atoms:
1 Ho 0.000 0.000 0.000 (multiplicity 2)
2 Cd 0.000 0.256 0.000 (multiplicity 4)
3 Cd 0.097 0.500 0.798 (multiplicity 4)
4 Cd 0.200 0.120 0.607 (multiplicity 8)
5 Pd 0.000 0.307 0.500 (multiplicity 4)



# 3
VASP calculation (PBE) on a relaxed structure of Ge3MoRh.

The value obtained for the formation energy is 0.8341 eV/atom. The value obtained for the calculated volume is 111 Å³/cell. As for the distance to the lowest polymorph of the same formula: 0.000 eV/f.u. The magnetization comes out at 0.9 μB/f.u. The final energy is -5.57 eV/atom.

a b c (Å): 4.805 4.805 4.805
angles (deg): 90.00 90.00 90.00
Space group Pm-3m (No. 221)
One atom of each set of equivalent atoms:
1 Ge 0.000 0.000 0.500 (multiplicity 3)
2 Mo 0.000 0.000 0.000 (multiplicity 1)
3 Rh 0.500 0.500 0.500 (multiplicity 1)



# 4
VASP calculation (PBE) on a relaxed structure of CoNiHPt2.

The value obtained for the calculated volume is 57 Å³/cell. As for the distance to the lowest polymorph of the same formula: 0.022 eV/f.u. The magnetization comes out at 3.2 μB/f.u. The final energy is -5.62 eV/atom.

a b c (Å): 3.922 3.922 3.709
angles (deg): 90.00 90.00 90.00
Space group P4/mmm (No. 123)
One atom of each set of equivalent atoms:
1 Co 0.000 0.000 0.000 (multiplicity 1)
2 Ni 0.500 0.500 0.000 (multiplicity 1)
3 H 0.000 0.000 0.500 (multiplicity 1)
4 Pt 0.000 0.500 0.500 (multiplicity 2)



# 5
VASP calculation (PBE) on a relaxed structure of Nd2YErTm2.

The value obtained for the formation energy is 0.1386 eV/atom. The value obtained for the calculated volume is 391 Å³/cell. The magnetization comes out at 0.0 μB/f.u. The final energy is -4.78 eV/atom.

a b c (Å): 6.518 6.814 8.866
angles (deg): 90.00 96.30 90.00
Space group P2_1/m (No. 11)
One atom of each set of equivalent atoms:
1 Nd 0.082 0.250 0.023 (multiplicity 2)
2 Nd 0.174 0.250 0.647 (multiplicity 2)
3 Y 0.193 0.750 0.659 (multiplicity 2)
4 Er 0.434 0.750 0.013 (multiplicity 2)
5 Tm 0.326 0.502 0.333 (multiplicity 4)



# 6
VASP calculation (PBE) on a relaxed structure of HoPaIn.

The value obtained for the formation energy is 0.2033 eV/atom. The value obtained for the calculated volume is 684 Å³/cell. As for the distance to the lowest polymorph of the same formula: 0.751 eV/f.u. The magnetization comes out at 1.0 μB/f.u. The final energy is -5.40 eV/atom.

a b c (Å): 5.878 9.098 12.796
angles (deg): 90.00 90.00 90.00
Space group Fmmm (No. 69)
One atom of each set of equivalent atoms:
1 Ho 0.000 0.178 0.000 (multiplicity 8)
2 Pa 0.250 0.250 0.250 (multiplicity 8)
3 In 0.000 0.000 0.387 (multiplicity 8)



# 7
VASP calculation (PBE) on a relaxed structure of Mg14CrSn.

The value obtained for the formation energy is 0.0409 eV/atom. The value obtained for the calculated volume is 356 Å³/cell. As for the distance to the lowest polymorph of the same formula: 0.058 eV/f.u. The magnetization comes out at 3.9 μB/f.u. The final energy is -2.21 eV/atom.

a b c (Å): 6.3681 6.3681 10.1491
angles (deg): 90.00 90.00 120.00
Space group P-6m2 (No. 187)
One atom of each set of equivalent atoms:
1 Mg 0.0000 0.0000 0.2488 (multiplicity 2)
2 Mg 0.0047 0.5024 0.2551 (multiplicity 6)
3 Mg 0.3324 0.1662 0.0000 (multiplicity 3)
4 Mg 0.3325 0.1662 0.5000 (multiplicity 3)
5 Cr 0.3333 0.6667 0.5000 (multiplicity 1)
6 Sn 0.3333 0.6667 0.0000 (multiplicity 1)



# 8
VASP calculation (PBE) on a relaxed structure of Sm3ScPb2.

The value obtained for the formation energy is -0.3818 eV/atom. The value obtained for the calculated volume is 349 Å³/cell. As for the distance to the lowest polymorph of the same formula: 0.304 eV/f.u. The magnetization comes out at 0.6 μB/f.u. The final energy is -5.03 eV/atom.

a b c (Å): 4.908 15.982 4.451
angles (deg): 90.00 90.00 90.00
Space group Cmmm (No. 65)
One atom of each set of equivalent atoms:
1 Sm 0.000 0.000 0.000 (multiplicity 2)
2 Sm 0.000 0.326 0.000 (multiplicity 4)
3 Sc 0.000 0.500 0.500 (multiplicity 2)
4 Pb 0.000 0.148 0.500 (multiplicity 4)



# 9
VASP calculation (PBE) on a relaxed structure of ErTaOsRu.

The value obtained for the formation energy is -0.4139 eV/atom. The value obtained for the calculated volume is 71 Å³/cell. As for the distance to the lowest polymorph of the same formula: 0.000 eV/f.u. The magnetization comes out at 0.0 μB/f.u. The final energy is -9.64 eV/atom.

a b c (Å): 3.212 3.212 6.836
angles (deg): 90.00 90.00 90.00
Space group P4mm (No. 99)
One atom of each set of equivalent atoms:
1 Er 0.000 0.000 0.000 (multiplicity 1)
2 Ta 0.000 0.000 0.499 (multiplicity 1)
3 Os 0.500 0.500 0.721 (multiplicity 1)
4 Ru 0.500 0.500 0.276 (multiplicity 1)



magnetization of number 4 (CoNiHPt2)? 3.2 μB/f.u.